## Ba2CoIr3O12 (PBE+U)

Data for an optimized crystal structure of Ba2CoIr3O12.

The structure in extended XYZ format:
```
18
Lattice="-2.561 -5.924 -2.555 4.427 -4.393 -3.048 1.527 -5.893 3.336" Properties=species:S:1:pos:R:3 pbc="T T T"
O 0.469 -12.306 -0.260
O 1.368 -7.365 -3.485
O -0.342 -8.250 0.282
O 2.025 -8.845 1.217
O 4.666 -11.386 -0.556
O 3.735 -7.960 -2.549
O 1.182 -4.805 1.827
O -0.387 -8.864 -2.259
O 2.211 -11.405 -4.095
O -1.273 -4.824 -1.712
O 3.780 -7.346 -0.009
O 2.924 -3.904 -2.008
Ba 2.143 -10.238 -1.432
Ba 1.250 -5.972 -0.835
Co 0.000 0.000 0.000
Ir 2.213 -2.196 -1.524
Ir 0.764 -2.946 1.668
Ir -1.281 -2.962 -1.278
```

## Properties
total energy: -6.465 eV per atom
spin magnetization: 0.92 μB/f.u.
N(E_F): 10.415 states/eV/f.u.
SG: No. 166